Below is a relaxed structure of Sr2TcTe, with properties calculated at the PBE level.

abc: 5.258 5.258 5.258
angles: 60.00 60.00 60.00
Last column: magnetic moment on the atom in μB.
Fractional coordinates of all 4 atoms:
Te 0.750 0.750 0.750  0.00
Sr 0.000 0.000 0.000  -0.03
Sr 0.250 0.250 0.250  0.02
Tc 0.500 0.500 0.500  0.97

Summary:
D(E_F) (states/eV/f.u.): 6.74
Density (g/cm3): 6.5
Total energy (eV/cell): -15.64
Crystal system: cubic
Formation energy (no corrections) (meV/atom): 307



Below is a relaxed structure of K2SnH, with properties calculated at the PBE level.

abc: 5.883 5.883 5.883
angles: 60.00 60.00 60.00
Last column: magnetic moment on the atom in μB.
Fractional coordinates of all 4 atoms:
H 0.000 0.000 0.000  0.09
K 0.250 0.250 0.250  0.05
K 0.750 0.750 0.750  0.05
Sn 0.500 0.500 0.500  0.90

Summary:
D(E_F) (states/eV/f.u.): 2.30
ΔE to the lowest computed polymorph (meV per atom): 299
Density (g/cm3): 2.3
Total energy (eV/cell): -8.05
Crystal system: cubic